Record 1
First-principles (GGA-PBE) data for TaPtW2 after structural relaxation, as listed in the Alexandria database.

The polymorph energy (0 for the lowest one) comes out at 0.130 eV per atom. The formation enthalpy at 0 K comes out at -33 meV per atom.

The structure belongs to space group Cm (No. 8); the cell edges are 9.530, 2.746 and 5.092 Å and the angles 90.00°, 98.14° and 90.00°. The asymmetric unit holds Ta at (0.000, 0.000, 0.000), Pt at (0.244, 0.500, 0.236), W at (0.241, 0.000, 0.729) and W at (0.484, 0.000, 0.495).

***

Record 2
First-principles (GGA-PBE) data for TaPt2W after structural relaxation, as listed in the Alexandria database.

The formation enthalpy at 0 K comes out at 163 meV per atom.

The structure belongs to space group I-42d (No. 122); the cell edges are 7.201, 7.201 and 5.451 Å and the angles 90.00°, 90.00° and 90.00°. The asymmetric unit holds Ta at (0.000, 0.000, 0.000), Pt at (0.246, 0.250, 0.625) and W at (0.000, 0.000, 0.500).